AsPd3O6: optimized geometry, PBE.

Summary:
total magnetization: 8.44 μB/cell
E_form (uncorrected): -427 kJ/mol of formula units
E: -5.4406 eV/atom
N(E_F): 5.905 states/eV/f.u.
density: 6.84 g/cm³

```
data_AsPd3O6
_cell_length_a 5.2424
_cell_length_b 5.2424
_cell_length_c 14.9901
_cell_angle_alpha 90.00
_cell_angle_beta 90.00
_cell_angle_gamma 120.00
_symmetry_space_group_name_H-M 'R 3'
_symmetry_Int_Tables_number 146
_symmetry_space_group_name_Hall 'R 3'
loop_
_atom_site_label
_atom_site_type_symbol
_atom_site_fract_x
_atom_site_fract_y
_atom_site_fract_z
_atom_site_occupancy
As1 As 0.0000 0.0000 0.0000 1
Pd1 Pd 0.0000 0.0000 0.3154 1
Pd2 Pd 0.0000 0.0000 0.5152 1
Pd3 Pd 0.0000 0.0000 0.8049 1
O1 O 0.0124 0.3698 0.7288 1
O2 O 0.0146 0.7195 0.9151 1
```